Below is a geometry-optimized CsV2ZnO6 structure, with properties calculated at the GGA+U level.

Output
**N(E_F)**: 0.6 states/eV/f.u.
**Space-group type**: No. 15
**Electronic total energy**: -129.77 eV per cell
**Total magnetic moment**: 1.00 μB per formula unit

The structure in CIF format:
```
data_CsV2ZnO6
_chemical_formula_sum 'Cs2 V4 Zn2 O12'
_space_group_name_H-M_alt 'P 1'
_space_group_IT_number 1
_cell_length_a 8.112
_cell_length_b 8.112
_cell_length_c 6.028
_cell_angle_alpha 102.01
_cell_angle_beta 102.01
_cell_angle_gamma 100.51
loop_
_space_group_symop_operation_xyz
'x,y,z'
loop_
_atom_site_label
_atom_site_type_symbol
_atom_site_fract_x
_atom_site_fract_y
_atom_site_fract_z
Cs1 Cs 0.141 0.859 0.750
Cs2 Cs 0.859 0.141 0.250
V1 V 0.196 0.359 0.860
V2 V 0.359 0.196 0.360
V3 V 0.641 0.804 0.640
V4 V 0.804 0.641 0.140
Zn1 Zn 0.277 0.723 0.250
Zn2 Zn 0.723 0.277 0.750
O1 O 0.027 0.675 0.233
O2 O 0.246 0.254 0.100
O3 O 0.254 0.246 0.600
O4 O 0.298 0.577 0.963
O5 O 0.325 0.973 0.267
O6 O 0.423 0.702 0.537
O7 O 0.577 0.298 0.463
O8 O 0.675 0.027 0.733
O9 O 0.702 0.423 0.037
O10 O 0.746 0.754 0.400
O11 O 0.754 0.746 0.900
O12 O 0.973 0.325 0.767
```